Material: IrPb2Cl
Method: DFT, PBE-GGA
State: optimized geometry

Computed properties:
The crystal system is monoclinic.

Unit cell a=4.0848 b=4.0848 c=7.7524 alpha=104.96 beta=104.96 gamma=60.07
Sites, in units of the cell vectors:
1 Ir 0.0000 0.0000 0.0000
2 Pb 0.2680 0.2680 0.7998
3 Pb 0.7320 0.7320 0.2002
4 Cl 0.5000 0.5000 0.5000

***

Material: IrPb2Cl
Method: DFT, PBE-GGA
State: optimized geometry

Computed properties:
The crystal system is tetragonal.

Unit cell a=7.8399 b=7.8399 c=7.8399 alpha=129.62 beta=129.62 gamma=74.02
Sites, in units of the cell vectors:
1 Ir 0.0000 0.0000 0.0000
2 Ir 0.7500 0.2500 0.5000
3 Pb 0.0698 0.6250 0.9448
4 Pb 0.3750 0.3198 0.4448
5 Pb 0.6802 0.1250 0.0552
6 Pb 0.8750 0.9302 0.5552
7 Cl 0.2500 0.7500 0.5000
8 Cl 0.5000 0.5000 0.0000

***

Material: IrPbCl4
Method: DFT, PBE-GGA
State: optimized geometry

Computed properties:
The crystal system is cubic.

Unit cell a=5.8897 b=5.8897 c=5.8897 alpha=60.00 beta=60.00 gamma=60.00
Sites, in units of the cell vectors:
1 Ir 0.0000 0.0000 0.0000
2 Pb 0.7500 0.7500 0.7500
3 Cl 0.3739 0.3739 0.3739
4 Cl 0.3739 0.3739 0.8783
5 Cl 0.3739 0.8783 0.3739
6 Cl 0.8783 0.3739 0.3739

***

Material: IrPb2Cl8
Method: DFT, PBE-GGA
State: optimized geometry

Computed properties:
The crystal system is monoclinic.

Unit cell a=8.1500 b=8.1500 c=7.0057 alpha=90.35 beta=90.35 gamma=45.85
Sites, in units of the cell vectors:
1 Ir 0.0000 0.0000 0.0000
2 Pb 0.1378 0.1378 0.4667
3 Pb 0.8622 0.8622 0.5333
4 Cl 0.1546 0.1546 0.0625
5 Cl 0.2297 0.7308 0.2393
6 Cl 0.2692 0.7703 0.7607
7 Cl 0.3137 0.3137 0.5510
8 Cl 0.6863 0.6863 0.4490
9 Cl 0.7308 0.2297 0.2393
10 Cl 0.7703 0.2692 0.7607
11 Cl 0.8454 0.8454 0.9375

***

Material: IrPbCl
Method: DFT, PBE-GGA
State: optimized geometry

Computed properties:
The crystal system is tetragonal.

Unit cell a=6.5139 b=6.5139 c=6.5139 alpha=151.13 beta=151.13 gamma=41.28
Sites, in units of the cell vectors:
1 Ir 0.0000 0.0000 0.0000
2 Pb 0.6431 0.6431 0.0000
3 Cl 0.3589 0.3589 0.0000

***

Material: IrPb2Cl
Method: DFT, PBE-GGA
State: optimized geometry

Computed properties:
The crystal system is monoclinic.

Unit cell a=3.4556 b=3.3748 c=8.0228 alpha=90.00 beta=90.08 gamma=90.00
Sites, in units of the cell vectors:
1 Ir 0.0000 0.0000 0.0000
2 Pb 0.4991 0.5000 0.2212
3 Pb 0.5009 0.5000 0.7788
4 Cl 0.0000 0.0000 0.5000

***

| no. | formation energy (no corrections) (meV per atom) |
| --- | --- |
| 1 | -104.1 |
| 2 | 96.1 |
| 3 | 927.8 |
| 4 | -789.4 |
| 5 | 462.6 |
| 6 | -91.8 |